(1)
## LaMgMn (PBE)

Data for a geometry-optimized LaMgMn structure.

POSCAR file:
```
LaMgMn
1.0
6.629 0.134 0.015
4.724 4.651 -0.014
-5.682 -2.379 2.451
Mn Mg La
1 1 1
direct
0.680 0.680 0.000
0.302 0.302 0.000
0.017 0.017 0.000
```

Values from the calculation:
Formation energy, eV/atom: 0.190
Crystal system: tetragonal
Calculated density, Mg/m³: 4.89
Space-group type: I4mm (107)
Total magnetization, μB/cell: 3.1

=====

(2)
## ReClF3 (PBE)

Data for a geometry-optimized ReClF3 structure.

POSCAR file:
```
ReClF3
1.0
5.276 0.000 2.696
2.510 5.509 1.599
0.137 -0.445 6.244
F Cl Re
6 2 2
direct
0.730 0.757 0.243
0.285 0.215 0.215
0.270 0.757 0.243
0.270 0.243 0.757
0.730 0.243 0.757
0.715 0.785 0.785
0.784 0.216 0.216
0.216 0.784 0.784
0.295 0.000 0.000
0.705 0.000 0.000
```

Values from the calculation:
Excess energy over the best structure of this formula in the dataset, meV per atom: 0
Formation energy without anion corrections, eV per atom: -1.54
Crystal system: orthorhombic
Calculated density, Mg/m³: 5.14
Space-group type: Immm (71)
Total magnetization, μB/cell: 2.0

=====

(3)
## LiTaIn (PBE)

Data for a geometry-optimized LiTaIn structure.

POSCAR file:
```
LiTaIn
1.0
6.124 -0.251 0.257
5.500 2.703 0.288
0.624 0.101 2.952
Li Ta In
1 1 1
direct
0.340 0.340 0.660
0.673 0.673 0.327
0.987 0.987 0.013
```

Values from the calculation:
Excess energy over the best structure of this formula in the dataset, meV per atom: 0
Formation energy, eV/atom: 0.204
Crystal system: tetragonal
Calculated density, Mg/m³: 9.59
Space-group type: I4mm (107)
Total magnetization, μB/cell: 0.0

=====

Among the records above, which one has the highest total magnetization?
LaMgMn